Entry 1:
! CsHoCdTe3 (PBE-GGA, relaxed); values from VASP
&SYSTEM
  ibrav = 0, nat = 12, ntyp = 4
/
ATOMIC_SPECIES
Cs 132.91 Cs.upf
Ho 164.93 Ho.upf
Cd 112.41 Cd.upf
Te 127.60 Te.upf
CELL_PARAMETERS angstrom
10.1541 0.0000 0.0000
0.0000 4.5458 0.0000
-4.0791 0.0000 10.4397
ATOMIC_POSITIONS crystal
Cs 0.2199 0.2500 0.2476
Cs 0.7801 0.7500 0.7524
Ho 0.3303 0.7500 0.8663
Ho 0.6697 0.2500 0.1337
Cd 0.0818 0.2500 0.6110
Cd 0.9182 0.7500 0.3890
Te 0.1203 0.2500 0.8717
Te 0.2240 0.7500 0.5523
Te 0.4737 0.7500 0.1549
Te 0.5263 0.2500 0.8451
Te 0.7760 0.2500 0.4477
Te 0.8797 0.7500 0.1283
! - Total DFT energy (no corrections): -3.70 eV per atom
! - E_form (uncorrected): -1.074 eV/atom

Entry 2:
! Cs2Cd3I8 (PBE-GGA, relaxed); values from VASP
&SYSTEM
  ibrav = 0, nat = 13, ntyp = 3
/
ATOMIC_SPECIES
Cs 132.91 Cs.upf
Cd 112.41 Cd.upf
I 126.90 I.upf
CELL_PARAMETERS angstrom
8.9792 -5.7571 0.0000
8.9792 5.7571 0.0000
-2.7541 0.0000 6.6800
ATOMIC_POSITIONS crystal
Cs 0.2305 0.2305 0.0538
Cs 0.7695 0.7695 0.9462
Cd 0.1730 0.8270 0.5000
Cd 0.5000 0.5000 0.0000
Cd 0.8270 0.1730 0.5000
I 0.1051 0.1051 0.4290
I 0.1916 0.6260 0.1441
I 0.3592 0.3592 0.6683
I 0.3740 0.8084 0.8559
I 0.6260 0.1916 0.1441
I 0.6408 0.6408 0.3317
I 0.8084 0.3740 0.8559
I 0.8949 0.8949 0.5710
! - Total DFT energy (no corrections): -2.17 eV per atom
! - E_form (uncorrected): -0.874 eV/atom
! - Offset from the most stable computed form: 0 meV per atom

Entry 3:
! Cs2Cd2I (PBE-GGA, relaxed); values from VASP
&SYSTEM
  ibrav = 0, nat = 5, ntyp = 3
/
ATOMIC_SPECIES
Cs 132.91 Cs.upf
Cd 112.41 Cd.upf
I 126.90 I.upf
CELL_PARAMETERS angstrom
-2.2333 2.2333 11.4928
2.2333 -2.2333 11.4928
2.2333 2.2333 -11.4928
ATOMIC_POSITIONS crystal
Cs 0.1023 0.1023 0.0000
Cs 0.8977 0.8977 0.0000
Cd 0.2500 0.7500 0.5000
Cd 0.7500 0.2500 0.5000
I 0.5000 0.5000 0.0000
! - Total DFT energy (no corrections): -1.60 eV per atom
! - E_form (uncorrected): -0.582 eV/atom
! - Offset from the most stable computed form: 0 meV per atom

Entry 4:
! Cs3CdI6 (PBE-GGA, relaxed); values from VASP
&SYSTEM
  ibrav = 0, nat = 20, ntyp = 3
/
ATOMIC_SPECIES
Cs 132.91 Cs.upf
Cd 112.41 Cd.upf
I 126.90 I.upf
CELL_PARAMETERS angstrom
8.2819 -10.6425 0.0000
8.2819 10.6425 0.0000
0.0000 0.0000 6.7918
ATOMIC_POSITIONS crystal
Cs 0.1183 0.8817 0.5000
Cs 0.1974 0.4374 0.5293
Cs 0.4374 0.1974 0.0293
Cs 0.5626 0.8026 0.5293
Cs 0.8026 0.5626 0.0293
Cs 0.8817 0.1183 0.0000
Cd 0.2942 0.7058 0.0971
Cd 0.7058 0.2942 0.5971
I 0.0864 0.6247 0.2057
I 0.1598 0.1626 0.2671
I 0.1626 0.1598 0.7671
I 0.2863 0.7137 0.6839
I 0.3753 0.9136 0.2057
I 0.4237 0.5763 0.1874
I 0.5763 0.4237 0.6874
I 0.6247 0.0864 0.7057
I 0.7137 0.2863 0.1839
I 0.8374 0.8402 0.2671
I 0.8402 0.8374 0.7671
I 0.9136 0.3753 0.7057
! - Total DFT energy (no corrections): -2.39 eV per atom
! - E_form (uncorrected): -1.109 eV/atom
! - Offset from the most stable computed form: 0 meV per atom

Entry 5:
! Cs2CdI7 (PBE-GGA, relaxed); values from VASP
&SYSTEM
  ibrav = 0, nat = 10, ntyp = 3
/
ATOMIC_SPECIES
Cs 132.91 Cs.upf
Cd 112.41 Cd.upf
I 126.90 I.upf
CELL_PARAMETERS angstrom
-4.5386 4.5386 6.1915
4.5386 -4.5386 6.1915
4.5386 4.5386 -6.1915
ATOMIC_POSITIONS crystal
Cs 0.2500 0.7500 0.5000
Cs 0.7500 0.2500 0.5000
Cd 0.0000 0.0000 0.0000
I 0.2244 0.2244 0.4488
I 0.2244 0.7756 0.0000
I 0.2647 0.2647 0.0000
I 0.5000 0.5000 0.0000
I 0.7353 0.7353 0.0000
I 0.7756 0.2244 0.0000
I 0.7756 0.7756 0.5512
! - Total DFT energy (no corrections): -2.06 eV per atom
! - E_form (uncorrected): -0.714 eV/atom

Entry 6:
! Cs3CdI5 (PBE-GGA, relaxed); values from VASP
&SYSTEM
  ibrav = 0, nat = 18, ntyp = 3
/
ATOMIC_SPECIES
Cs 132.91 Cs.upf
Cd 112.41 Cd.upf
I 126.90 I.upf
CELL_PARAMETERS angstrom
-5.2328 5.2328 8.5806
5.2328 -5.2328 8.5806
5.2328 5.2328 -8.5806
ATOMIC_POSITIONS crystal
Cs 0.1569 0.6569 0.8138
Cs 0.2500 0.2500 0.0000
Cs 0.3431 0.1569 0.5000
Cs 0.6569 0.8431 0.5000
Cs 0.7500 0.7500 0.0000
Cs 0.8431 0.3431 0.1862
Cd 0.2500 0.7500 0.5000
Cd 0.7500 0.2500 0.5000
I 0.0000 0.0000 0.0000
I 0.0007 0.2002 0.5000
I 0.2002 0.7002 0.1995
I 0.2998 0.4993 0.5000
I 0.4993 0.9993 0.1995
I 0.5000 0.5000 0.0000
I 0.5007 0.0007 0.8005
I 0.7002 0.5007 0.5000
I 0.7998 0.2998 0.8005
I 0.9993 0.7998 0.5000
! - Total DFT energy (no corrections): -2.50 eV per atom
! - E_form (uncorrected): -1.250 eV/atom
! - Offset from the most stable computed form: 4 meV per atom

Entry 7:
! Cs2Cd2I5 (PBE-GGA, relaxed); values from VASP
&SYSTEM
  ibrav = 0, nat = 9, ntyp = 3
/
ATOMIC_SPECIES
Cs 132.91 Cs.upf
Cd 112.41 Cd.upf
I 126.90 I.upf
CELL_PARAMETERS angstrom
6.0281 0.0000 0.0000
0.0000 6.0281 0.0000
0.0000 0.0000 11.9714
ATOMIC_POSITIONS crystal
Cs 0.0000 0.0000 0.0000
Cs 0.0000 0.0000 0.5000
Cd 0.5000 0.5000 0.2469
Cd 0.5000 0.5000 0.7531
I 0.0000 0.5000 0.2158
I 0.0000 0.5000 0.7842
I 0.5000 0.0000 0.2158
I 0.5000 0.0000 0.7842
I 0.5000 0.5000 0.5000
! - Total DFT energy (no corrections): -2.19 eV per atom
! - E_form (uncorrected): -0.934 eV/atom
! - Offset from the most stable computed form: 0 meV per atom

Entry 8:
! Cs3Cd5I12 (PBE-GGA, relaxed); values from VASP
&SYSTEM
  ibrav = 0, nat = 80, ntyp = 3
/
ATOMIC_SPECIES
Cs 132.91 Cs.upf
Cd 112.41 Cd.upf
I 126.90 I.upf
CELL_PARAMETERS angstrom
-9.8503 9.8503 9.8503
9.8503 -9.8503 9.8503
9.8503 9.8503 -9.8503
ATOMIC_POSITIONS crystal
Cs 0.1250 0.2500 0.3750
Cs 0.1250 0.3750 0.7500
Cs 0.2500 0.3750 0.1250
Cs 0.2500 0.8750 0.6250
Cs 0.3750 0.1250 0.2500
Cs 0.3750 0.7500 0.1250
Cs 0.6250 0.2500 0.8750
Cs 0.6250 0.8750 0.7500
Cs 0.7500 0.1250 0.3750
Cs 0.7500 0.6250 0.8750
Cs 0.8750 0.6250 0.2500
Cs 0.8750 0.7500 0.6250
Cd 0.0000 0.0000 0.0000
Cd 0.0000 0.0000 0.5000
Cd 0.0000 0.5000 0.0000
Cd 0.0000 0.5000 0.5000
Cd 0.1250 0.7500 0.8750
Cd 0.1250 0.8750 0.2500
Cd 0.2500 0.1250 0.8750
Cd 0.2500 0.6250 0.3750
Cd 0.3750 0.2500 0.6250
Cd 0.3750 0.6250 0.7500
Cd 0.5000 0.0000 0.0000
Cd 0.5000 0.0000 0.5000
Cd 0.5000 0.5000 0.0000
Cd 0.5000 0.5000 0.5000
Cd 0.6250 0.3750 0.2500
Cd 0.6250 0.7500 0.3750
Cd 0.7500 0.3750 0.6250
Cd 0.7500 0.8750 0.1250
Cd 0.8750 0.1250 0.7500
Cd 0.8750 0.2500 0.1250
I 0.0140 0.1954 0.1092
I 0.0140 0.3185 0.9048
I 0.0863 0.6954 0.6815
I 0.0863 0.8908 0.4048
I 0.0952 0.6092 0.4137
I 0.0952 0.9860 0.6815
I 0.1092 0.0140 0.1954
I 0.1092 0.5952 0.9137
I 0.1815 0.1954 0.5863
I 0.1815 0.4860 0.5952
I 0.1954 0.1092 0.0140
I 0.1954 0.5863 0.1815
I 0.3046 0.3185 0.9137
I 0.3046 0.4860 0.3908
I 0.3185 0.9048 0.0140
I 0.3185 0.9137 0.3046
I 0.3908 0.3046 0.4860
I 0.3908 0.5863 0.9048
I 0.4048 0.0863 0.8908
I 0.4048 0.8185 0.5140
I 0.4137 0.0952 0.6092
I 0.4137 0.8185 0.8046
I 0.4860 0.3908 0.3046
I 0.4860 0.5952 0.1815
I 0.5140 0.4048 0.8185
I 0.5140 0.6092 0.6954
I 0.5863 0.1815 0.1954
I 0.5863 0.9048 0.3908
I 0.5952 0.1815 0.4860
I 0.5952 0.9137 0.1092
I 0.6092 0.4137 0.0952
I 0.6092 0.6954 0.5140
I 0.6815 0.0863 0.6954
I 0.6815 0.0952 0.9860
I 0.6954 0.5140 0.6092
I 0.6954 0.6815 0.0863
I 0.8046 0.4137 0.8185
I 0.8046 0.8908 0.9860
I 0.8185 0.5140 0.4048
I 0.8185 0.8046 0.4137
I 0.8908 0.4048 0.0863
I 0.8908 0.9860 0.8046
I 0.9048 0.0140 0.3185
I 0.9048 0.3908 0.5863
I 0.9137 0.1092 0.5952
I 0.9137 0.3046 0.3185
I 0.9860 0.6815 0.0952
I 0.9860 0.8046 0.8908
! - Total DFT energy (no corrections): -2.12 eV per atom
! - E_form (uncorrected): -0.833 eV/atom

Entry 9:
! Cs2CdI4 (PBE-GGA, relaxed); values from VASP
&SYSTEM
  ibrav = 0, nat = 7, ntyp = 3
/
ATOMIC_SPECIES
Cs 132.91 Cs.upf
Cd 112.41 Cd.upf
I 126.90 I.upf
CELL_PARAMETERS angstrom
-3.0487 3.0487 9.4808
3.0487 -3.0487 9.4808
3.0487 3.0487 -9.4808
ATOMIC_POSITIONS crystal
Cs 0.1374 0.1374 0.0000
Cs 0.8626 0.8626 0.0000
Cd 0.5000 0.5000 0.0000
I 0.0000 0.5000 0.5000
I 0.3433 0.3433 0.0000
I 0.5000 0.0000 0.5000
I 0.6567 0.6567 0.0000
! - Total DFT energy (no corrections): -2.39 eV per atom
! - E_form (uncorrected): -1.127 eV/atom
! - Offset from the most stable computed form: 52 meV per atom

Entry 10:
! Cs2CdI4 (PBE-GGA, relaxed); values from VASP
&SYSTEM
  ibrav = 0, nat = 14, ntyp = 3
/
ATOMIC_SPECIES
Cs 132.91 Cs.upf
Cd 112.41 Cd.upf
I 126.90 I.upf
CELL_PARAMETERS angstrom
8.4733 0.0000 0.0000
0.0000 8.5282 0.0000
-3.5583 0.0000 10.3740
ATOMIC_POSITIONS crystal
Cs 0.2117 0.2500 0.0464
Cs 0.2822 0.2500 0.5772
Cs 0.7178 0.7500 0.4228
Cs 0.7883 0.7500 0.9536
Cd 0.2080 0.7500 0.7900
Cd 0.7920 0.2500 0.2100
I 0.0136 0.5084 0.2719
I 0.0136 0.9916 0.2719
I 0.3789 0.7500 0.0585
I 0.4164 0.7500 0.6351
I 0.5836 0.2500 0.3649
I 0.6211 0.2500 0.9415
I 0.9864 0.0084 0.7281
I 0.9864 0.4916 0.7281
! - Total DFT energy (no corrections): -2.44 eV per atom
! - E_form (uncorrected): -1.178 eV/atom
! - Offset from the most stable computed form: 0 meV per atom

Entry 11:
! Cs5CdI8 (PBE-GGA, relaxed); values from VASP
&SYSTEM
  ibrav = 0, nat = 14, ntyp = 3
/
ATOMIC_SPECIES
Cs 132.91 Cs.upf
Cd 112.41 Cd.upf
I 126.90 I.upf
CELL_PARAMETERS angstrom
-5.5722 5.5722 6.4519
5.5722 -5.5722 6.4519
5.5722 5.5722 -6.4519
ATOMIC_POSITIONS crystal
Cs 0.0000 0.0000 0.0000
Cs 0.2399 0.1149 0.5958
Cs 0.3559 0.7601 0.8750
Cs 0.5191 0.6441 0.4042
Cs 0.8851 0.4809 0.1250
Cd 0.7500 0.2500 0.5000
I 0.0566 0.3782 0.7992
I 0.1828 0.3960 0.4139
I 0.2310 0.8172 0.2132
I 0.5790 0.2575 0.2008
I 0.6040 0.0178 0.7868
I 0.6218 0.4210 0.6784
I 0.7425 0.9434 0.3216
I 0.9822 0.7690 0.5861
! - Total DFT energy (no corrections): -2.40 eV per atom
! - E_form (uncorrected): -1.147 eV/atom

Entry 12:
! Cs2Cd2I (PBE-GGA, relaxed); values from VASP
&SYSTEM
  ibrav = 0, nat = 10, ntyp = 3
/
ATOMIC_SPECIES
Cs 132.91 Cs.upf
Cd 112.41 Cd.upf
I 126.90 I.upf
CELL_PARAMETERS angstrom
10.4634 0.0000 0.0000
0.0000 10.4634 0.0000
0.0000 0.0000 5.3904
ATOMIC_POSITIONS crystal
Cs 0.1940 0.3060 0.0000
Cs 0.3060 0.8060 0.0000
Cs 0.6940 0.1940 0.0000
Cs 0.8060 0.6940 0.0000
Cd 0.1025 0.6025 0.5000
Cd 0.3975 0.1025 0.5000
Cd 0.6025 0.8975 0.5000
Cd 0.8975 0.3975 0.5000
I 0.0000 0.0000 0.0000
I 0.5000 0.5000 0.0000
! - Total DFT energy (no corrections): -1.43 eV per atom
! - E_form (uncorrected): -0.412 eV/atom
! - Offset from the most stable computed form: 170 meV per atom

Entry 13:
! Cs2Cd3I8 (PBE-GGA, relaxed); values from VASP
&SYSTEM
  ibrav = 0, nat = 13, ntyp = 3
/
ATOMIC_SPECIES
Cs 132.91 Cs.upf
Cd 112.41 Cd.upf
I 126.90 I.upf
CELL_PARAMETERS angstrom
9.2807 -4.4645 0.0000
9.2807 4.4645 0.0000
-2.2731 0.0000 7.5498
ATOMIC_POSITIONS crystal
Cs 0.2400 0.2400 0.1738
Cs 0.7600 0.7600 0.8262
Cd 0.2433 0.7567 0.5000
Cd 0.5000 0.5000 0.0000
Cd 0.7567 0.2433 0.5000
I 0.1042 0.1042 0.4548
I 0.1729 0.6446 0.1136
I 0.3554 0.8271 0.8864
I 0.4048 0.4048 0.6028
I 0.5952 0.5952 0.3972
I 0.6446 0.1729 0.1136
I 0.8271 0.3554 0.8864
I 0.8958 0.8958 0.5452
! - Total DFT energy (no corrections): -2.15 eV per atom
! - E_form (uncorrected): -0.854 eV/atom
! - Offset from the most stable computed form: 20 meV per atom

Entry 14:
! CsCd2I2 (PBE-GGA, relaxed); values from VASP
&SYSTEM
  ibrav = 0, nat = 10, ntyp = 3
/
ATOMIC_SPECIES
Cs 132.91 Cs.upf
Cd 112.41 Cd.upf
I 126.90 I.upf
CELL_PARAMETERS angstrom
9.6723 0.0000 0.0000
0.0000 9.6723 0.0000
0.0000 0.0000 4.4884
ATOMIC_POSITIONS crystal
Cs 0.0000 0.0000 0.0000
Cs 0.5000 0.5000 0.0000
Cd 0.1022 0.3978 0.0000
Cd 0.3978 0.8978 0.0000
Cd 0.6022 0.1022 0.0000
Cd 0.8978 0.6022 0.0000
I 0.2248 0.7248 0.5000
I 0.2752 0.2248 0.5000
I 0.7248 0.7752 0.5000
I 0.7752 0.2752 0.5000
! - Total DFT energy (no corrections): -1.67 eV per atom
! - E_form (uncorrected): -0.511 eV/atom
! - Offset from the most stable computed form: 83 meV per atom

Entry 15:
! CsCd2I2 (PBE-GGA, relaxed); values from VASP
&SYSTEM
  ibrav = 0, nat = 10, ntyp = 3
/
ATOMIC_SPECIES
Cs 132.91 Cs.upf
Cd 112.41 Cd.upf
I 126.90 I.upf
CELL_PARAMETERS angstrom
10.3598 0.0000 0.0000
0.0000 10.3598 0.0000
0.0000 0.0000 5.7909
ATOMIC_POSITIONS crystal
Cs 0.0000 0.0000 0.0000
Cs 0.5000 0.5000 0.0000
Cd 0.0972 0.4028 0.5000
Cd 0.4028 0.9028 0.5000
Cd 0.5972 0.0972 0.5000
Cd 0.9028 0.5972 0.5000
I 0.1828 0.3172 0.0000
I 0.3172 0.8172 0.0000
I 0.6828 0.1828 0.0000
I 0.8172 0.6828 0.0000
! - Total DFT energy (no corrections): -1.68 eV per atom
! - E_form (uncorrected): -0.522 eV/atom
! - Offset from the most stable computed form: 72 meV per atom

Entry 16:
! Cs3CdI5 (PBE-GGA, relaxed); values from VASP
&SYSTEM
  ibrav = 0, nat = 36, ntyp = 3
/
ATOMIC_SPECIES
Cs 132.91 Cs.upf
Cd 112.41 Cd.upf
I 126.90 I.upf
CELL_PARAMETERS angstrom
10.3512 0.0000 0.0000
0.0000 12.0266 0.0000
0.0000 0.0000 15.2920
ATOMIC_POSITIONS crystal
Cs 0.0770 0.2500 0.0502
Cs 0.0849 0.0187 0.3281
Cs 0.0849 0.4813 0.3281
Cs 0.4151 0.5187 0.8281
Cs 0.4151 0.9813 0.8281
Cs 0.4230 0.7500 0.5502
Cs 0.5770 0.2500 0.4498
Cs 0.5849 0.0187 0.1719
Cs 0.5849 0.4813 0.1719
Cs 0.9151 0.5187 0.6719
Cs 0.9151 0.9813 0.6719
Cs 0.9230 0.7500 0.9498
Cd 0.1872 0.2500 0.6072
Cd 0.3128 0.7500 0.1072
Cd 0.6872 0.2500 0.8928
Cd 0.8128 0.7500 0.3928
I 0.0445 0.7500 0.4921
I 0.1298 0.2500 0.7866
I 0.1698 0.7500 0.7617
I 0.1860 0.5525 0.0600
I 0.1860 0.9475 0.0600
I 0.3140 0.0525 0.5600
I 0.3140 0.4475 0.5600
I 0.3302 0.2500 0.2617
I 0.3702 0.7500 0.2866
I 0.4555 0.2500 0.9921
I 0.5445 0.7500 0.0079
I 0.6298 0.2500 0.7134
I 0.6698 0.7500 0.7383
I 0.6860 0.5525 0.4400
I 0.6860 0.9475 0.4400
I 0.8140 0.0525 0.9400
I 0.8140 0.4475 0.9400
I 0.8302 0.2500 0.2383
I 0.8702 0.7500 0.2134
I 0.9555 0.2500 0.5079
! - Total DFT energy (no corrections): -2.50 eV per atom
! - E_form (uncorrected): -1.255 eV/atom
! - Offset from the most stable computed form: 0 meV per atom

Entry 17:
! Cs2Cd2I5 (PBE-GGA, relaxed); values from VASP
&SYSTEM
  ibrav = 0, nat = 9, ntyp = 3
/
ATOMIC_SPECIES
Cs 132.91 Cs.upf
Cd 112.41 Cd.upf
I 126.90 I.upf
CELL_PARAMETERS angstrom
8.2932 -3.1359 0.0000
8.2932 3.1359 0.0000
-3.1364 0.0000 8.6240
ATOMIC_POSITIONS crystal
Cs 0.1022 0.1022 0.3036
Cs 0.8978 0.8978 0.6964
Cd 0.3488 0.3488 0.1153
Cd 0.6512 0.6512 0.8847
I 0.1554 0.1554 0.9154
I 0.3513 0.3513 0.4337
I 0.5000 0.5000 0.0000
I 0.6487 0.6487 0.5663
I 0.8446 0.8446 0.0846
! - Total DFT energy (no corrections): -2.18 eV per atom
! - E_form (uncorrected): -0.925 eV/atom
! - Offset from the most stable computed form: 9 meV per atom